Here is crystalline Tl2CuH at its relaxed geometry from Alexandria via LeMat-Bulk. Energies are from PBE.

Structure (POSCAR):
```
Tl2CuH
1.0
-1.0096 -0.1306 5.1524
1.0143 -5.1527 0.0681
6.4175 -1.3618 3.8998
H Tl Cu
2 4 2
Cartesian
0.0023 -2.6417 2.6103
3.7171 -4.5781 3.2891
1.1548 -1.0591 3.9250
2.0575 -3.5843 1.9403
4.8698 -3.2813 4.8862
4.7624 -5.3656 7.4892
0.0000 0.0000 0.0000
2.7051 -2.0670 5.8313
```

E above lowest polymorph = 0.0 meV per atom

=====

Here is crystalline Sn5Bi2Pb12 at its relaxed geometry from Alexandria via LeMat-Bulk. Energies are from PBE.

Structure (POSCAR):
```
Sn5Bi2Pb12
1.0
6.9101 0.0000 0.0000
-3.4550 9.1324 0.6162
0.0000 -2.5842 10.0549
Sn Bi Pb
5 2 12
Cartesian
0.0000 3.8351 6.4834
0.0000 6.5565 1.6917
0.0000 -1.2921 5.0274
3.4550 -0.0082 8.9795
3.4550 2.7132 4.1877
5.2249 0.0000 0.0000
1.6851 0.0000 0.0000
0.0000 0.8243 2.7045
-1.7307 3.1674 9.1473
1.7307 3.1674 9.1473
-1.7342 5.4690 4.2947
1.7342 5.4690 4.2947
0.0000 6.9880 7.1043
3.4550 -0.4398 3.5668
5.1892 1.0792 6.3764
1.7209 1.0792 6.3764
5.1858 3.3809 1.5239
1.7243 3.3809 1.5239
3.4550 5.7240 7.9666
```

ΔE_f = 11.1 kJ/mol of atoms
E above lowest polymorph = 66.3 meV per atom

=====

Here is crystalline AcLa5In4 at its relaxed geometry from Alexandria via LeMat-Bulk. Energies are from PBE.

Structure (POSCAR):
```
AcLa5In4
1.0
3.7396 0.0000 0.0000
0.0000 3.7396 0.0000
0.0000 0.0000 23.2293
Ac La In
1 5 4
Cartesian
0.0000 0.0000 0.0000
1.8698 1.8698 2.7914
1.8698 1.8698 7.1929
1.8698 1.8698 11.6147
1.8698 1.8698 16.0364
1.8698 1.8698 20.4379
0.0000 0.0000 4.9668
0.0000 0.0000 9.4005
0.0000 0.0000 13.8288
0.0000 0.0000 18.2625
```

ΔE_f = -38.8 kJ/mol of atoms

=====

Here is crystalline MnP3 at its relaxed geometry from Alexandria via LeMat-Bulk. Energies are from PBE.

Structure (POSCAR):
```
MnP3
1.0
-8.3624 -3.7173 0.8047
1.3807 -3.5520 -2.0599
0.7405 -1.1348 2.4531
Mn P
2 6
Cartesian
0.3702 -0.5674 1.2266
-3.1206 -4.2020 0.5990
-1.6542 -0.7353 0.1592
-6.7082 -2.9819 0.6455
-5.1450 -4.3699 -0.4684
-1.8367 -2.8993 -0.7868
-3.8109 -2.4260 1.6289
1.0606 -2.3434 0.1966
```

ΔE_f = -7.4 kJ/mol of atoms
E above lowest polymorph = 82.8 meV per atom

=====

Here is crystalline CeHoTh3 at its relaxed geometry from Alexandria via LeMat-Bulk. Energies are from PBE.

Structure (POSCAR):
```
CeHoTh3
1.0
-2.4472 -3.5275 3.4953
6.9878 -0.0595 4.8323
-2.4172 5.2041 3.5595
Ce Ho Th
2 2 6
Cartesian
-0.0974 -2.6414 3.8427
2.2208 4.2585 8.0444
-1.1873 -0.2944 5.4477
3.3108 1.9115 6.4393
1.9734 0.2979 3.8742
0.1501 1.3192 8.0129
-0.8238 0.3217 1.9399
2.9472 1.2954 9.9472
-0.6711 2.9922 4.7418
2.7946 -1.3751 7.1453
```

ΔE_f = 21.9 kJ/mol of atoms
E above lowest polymorph = 194.2 meV per atom

=====

Computed electronic total energy (eV/atom) in order:
-2.56; -3.69; -4.37; -6.43; -6.33
Computed Fermi-level density of states (states/eV/cell) in order:
3.8; 9.6; 9.2; 3.1; 19.9